DFT (PBE-GGA) results for an optimized crystal structure of SrAg.

Lattice parameters (Å, degrees): 9.4803 9.4803 9.4803 90.00 90.00 90.00
Last column: nearest neighbours and their distance in Å.
Fractional positions:
Ag 0.6078 0.6078 0.3922  3 Ag 2.89, 4 Sr 3.11-3.21
Sr 0.7031 0.7031 0.7031  4 Ag 3.11-3.21
Ag 0.1078 0.1078 0.8922  3 Ag 2.89, 4 Sr 3.11-3.21
Ag 0.8922 0.1078 0.1078  3 Ag 2.89, 4 Sr 3.11-3.21
Ag 0.3922 0.6078 0.6078  3 Ag 2.89, 4 Sr 3.11-3.21
Sr 0.2969 0.7031 0.2969  4 Ag 3.11-3.21
Ag 0.6078 0.3922 0.6078  3 Ag 2.89, 4 Sr 3.11-3.21
Sr 0.2031 0.7969 0.7969  4 Ag 3.11-3.21
Ag 0.1078 0.8922 0.1078  3 Ag 2.89, 4 Sr 3.11-3.21
Ag 0.8922 0.8922 0.8922  3 Ag 2.89, 4 Sr 3.11-3.21
Ag 0.3922 0.3922 0.3922  3 Ag 2.89, 4 Sr 3.11-3.21
Sr 0.7969 0.2031 0.7969  4 Ag 3.11-3.21
Sr 0.2969 0.2969 0.7031  4 Ag 3.11-3.21
Sr 0.7031 0.2969 0.2969  4 Ag 3.11-3.21
Sr 0.7969 0.7969 0.2031  4 Ag 3.11-3.21
Sr 0.2031 0.2031 0.2031  4 Ag 3.11-3.21

Values from the calculation:
* space group: No. 217
* ΔE_f: 0.159 eV/atom
* electronic total energy: -2.11 eV per atom
* spin magnetization: 0.00 μB per formula unit

***

DFT (PBE-GGA) results for an optimized crystal structure of Sr2Ag.

Lattice parameters (Å, degrees): 4.3634 7.4453 8.1130 75.36 74.40 72.96
Last column: nearest neighbours and their distance in Å.
Fractional positions:
Sr 0.1729 0.7362 0.9180  3 Ag 3.30-3.46
Sr 0.8271 0.2638 0.0820  3 Ag 3.30-3.46
Sr 0.4182 0.7855 0.3781  4 Ag 3.35-3.37
Sr 0.5818 0.2145 0.6219  4 Ag 3.35-3.37
Ag 0.8841 0.5569 0.6748  1 Ag 2.99, 2 Sr 3.30
Ag 0.1159 0.4431 0.3252  1 Ag 2.99, 2 Sr 3.30

Values from the calculation:
* space group: No. 12
* energy above the most stable polymorph in this dataset: 0 meV/atom
* ΔE_f: -0.215 eV/atom
* electronic total energy: -2.29 eV per atom
* spin magnetization: 0.00 μB per formula unit

***

DFT (PBE-GGA) results for an optimized crystal structure of Sr3Ag4.

Lattice parameters (Å, degrees): 7.4430 7.4430 5.1011 90.00 90.00 120.00
Last column: nearest neighbours and their distance in Å.
Fractional positions:
Sr 0.0000 0.5000 0.0000  4 Ag 3.33, 4 Sr 3.72
Ag 0.0000 0.0000 0.7508  2 Ag 2.54-2.56
Ag 0.0000 0.0000 0.2492  2 Ag 2.54-2.56
Sr 0.5000 0.0000 0.0000  4 Ag 3.33, 4 Sr 3.72
Ag 0.3333 0.6667 0.5000  6 Sr 3.33
Sr 0.5000 0.5000 0.0000  4 Ag 3.33, 4 Sr 3.72
Ag 0.6667 0.3333 0.5000  6 Sr 3.33

Values from the calculation:
* space group: No. 191
* ΔE_f: 0.133 eV/atom
* electronic total energy: -2.22 eV per atom
* spin magnetization: 0.00 μB per formula unit